(1)
Cs3Mn2Cl3F4 PBE+U relaxed; volume = 24.38 Å³ per atom; VASP energy = -4.78 eV per atom; magnetic moment = 10.00 μB per cell
1.0
-2.1738 2.5931 12.9773
2.1738 -2.5931 12.9773
2.1738 2.5931 -12.9773
Cs Mn Cl F
3 2 3 4
direct
0.0000 0.0000 0.0000
0.1964 0.1964 0.0000
0.8036 0.8036 0.0000
0.3928 0.3928 0.0000
0.6072 0.6072 0.0000
0.1014 0.6014 0.5000
0.5000 0.5000 0.0000
0.8986 0.3986 0.5000
0.3115 0.3115 0.0000
0.3922 0.8922 0.5000
0.6078 0.1078 0.5000
0.6885 0.6885 0.0000

=====

(2)
CsMnCl2F PBE+U relaxed; volume = 24.48 Å³ per atom; VASP energy = -4.75 eV per atom; magnetic moment = 5.00 μB per cell
1.0
5.3589 0.0000 0.0000
0.0000 5.3589 0.0000
0.0000 0.0000 4.2620
Cs Mn Cl F
1 1 2 1
direct
0.0000 0.0000 0.0000
0.5000 0.5000 0.5000
0.0000 0.5000 0.5000
0.5000 0.0000 0.5000
0.5000 0.5000 0.0000

=====

no.,calculated density (kg/m3)
1,3921
2,3768